Computed, not measured: a relaxed CaSm15Y4 crystal at the PBE level of DFT.

Calculated values
SG: P4/mmm (123)

Structure (extended XYZ):
```
20
Lattice="5.1336 0.0000 0.0000 0.0000 5.1336 0.0000 0.0000 0.0000 25.6053" Properties=species:S:1:pos:R:3 pbc="T T T"
Ca 0.0000 0.0000 0.0000
Sm 2.5668 2.5668 0.0000
Sm 2.5668 2.5668 5.1397
Sm 2.5668 2.5668 10.2462
Sm 2.5668 2.5668 15.3591
Sm 2.5668 2.5668 20.4656
Sm 2.5668 0.0000 2.6486
Sm 2.5668 0.0000 7.7116
Sm 2.5668 0.0000 12.8026
Sm 2.5668 0.0000 17.8937
Sm 2.5668 0.0000 22.9567
Sm 0.0000 2.5668 2.6486
Sm 0.0000 2.5668 7.7116
Sm 0.0000 2.5668 12.8026
Sm 0.0000 2.5668 17.8937
Sm 0.0000 2.5668 22.9567
Y 0.0000 0.0000 5.1481
Y 0.0000 0.0000 10.2548
Y 0.0000 0.0000 15.3504
Y 0.0000 0.0000 20.4572
```



Computed, not measured: a relaxed Ca2SmY4 crystal at the PBE level of DFT.

Calculated values
SG: Cmmm (65)

Structure (extended XYZ):
```
7
Lattice="3.6252 0.0000 -0.4784 0.0000 3.6092 0.0000 0.6382 0.0000 18.8125" Properties=species:S:1:pos:R:3 pbc="T T T"
Y 3.9306 1.8046 15.8117
Y 2.4623 0.0000 4.6848
Y 0.3328 1.8046 2.5224
Y 1.8011 0.0000 13.6493
Ca 3.2554 1.8046 10.6947
Ca 1.0080 1.8046 7.6394
Sm 1.8126 0.0000 -0.2392
```



Computed, not measured: a relaxed Ca2SmY crystal at the PBE level of DFT.

Calculated values
energy above the lowest structure with this stoichiometry: 0.00 eV per formula unit
SG: R3m (160)

Structure (extended XYZ):
```
4
Lattice="-0.9787 2.9666 -1.9710 -3.4956 0.3990 -1.1247 -4.1500 7.1575 9.3727" Properties=species:S:1:pos:R:3 pbc="T T T"
Ca -3.4770 5.6296 6.7389
Ca -2.1652 2.6514 1.6048
Sm -2.9835 2.2452 -2.0612
Y -4.3108 5.2584 3.1331
```



Computed, not measured: a relaxed CaSm12Y7 crystal at the PBE level of DFT.

Calculated values
SG: Im-3m (229)

Structure (extended XYZ):
```
20
Lattice="0.2167 9.8911 1.4092 0.6223 -1.9866 -9.7741 -8.5549 -3.6926 3.6117" Properties=species:S:1:pos:R:3 pbc="T T T"
Ca 0.0000 0.0000 0.0000
Sm -5.7714 0.5519 -3.8832
Sm -1.5411 7.4594 -4.8907
Sm -1.9444 3.6599 -0.8700
Sm -6.1747 -3.2476 0.1376
Sm -2.0606 6.3665 1.9783
Sm -5.8737 3.6367 -0.9838
Sm -5.6552 -2.1547 -6.7315
Sm -1.8422 0.5751 -3.7694
Sm -3.4936 4.0751 -4.4588
Sm -4.2223 0.1367 -0.2943
Sm -8.2302 3.1161 2.1191
Sm 0.5143 1.0957 -6.8723
Y 0.4195 3.9522 -4.1824
Y -3.9663 -2.8396 -3.0812
Y -4.1691 3.0992 2.5105
Y -3.8579 2.1059 -2.3766
Y -4.2774 -1.8463 1.8058
Y 0.1084 4.9455 0.7046
Y 0.3112 -0.9933 -4.8870
```



Computed, not measured: a relaxed CaSm2Y crystal at the PBE level of DFT.

Calculated values
energy above the lowest structure with this stoichiometry: 0.00 eV per formula unit
SG: R-3m (166)

Structure (extended XYZ):
```
4
Lattice="3.6462 0.0000 0.0000 1.8231 3.1577 0.0000 1.8231 1.0526 12.1337" Properties=species:S:1:pos:R:3 pbc="T T T"
Ca 3.6462 2.1051 6.0669
Sm 5.4693 3.1577 9.2610
Sm 1.8231 1.0526 2.8727
Y 0.0000 0.0000 0.0000
```



Computed, not measured: a relaxed CaSm7Y3 crystal at the PBE level of DFT.

Calculated values
energy above the lowest structure with this stoichiometry: 0.00 eV per formula unit
SG: P3m1 (156)

Structure (extended XYZ):
```
11
Lattice="8.7588 0.0000 0.0000 0.0000 7.1988 0.0000 0.0000 -3.5994 6.2343" Properties=species:S:1:pos:R:3 pbc="T T T"
Ca 3.8993 0.0000 4.1562
Sm 0.9597 -1.8212 5.2077
Sm 0.9597 0.0000 2.0532
Sm 1.0921 3.5994 2.0781
Sm 3.9479 5.3758 1.0525
Sm 3.9479 1.8229 1.0525
Sm 3.9479 3.5994 4.1294
Sm 0.9597 1.8212 5.2077
Y 6.9029 1.8249 3.1026
Y 6.9029 3.5994 0.0291
Y 6.9029 5.3738 3.1026
```



Computed, not measured: a relaxed CaSm3Y2 crystal at the PBE level of DFT.

Calculated values
SG: P-1 (2)

Structure (extended XYZ):
```
12
Lattice="-3.6091 -6.4270 -0.1224 5.9655 0.8303 3.3717 -6.2869 9.7122 4.6947" Properties=species:S:1:pos:R:3 pbc="T T T"
Ca -1.9311 2.0809 1.3821
Ca -1.9994 2.0346 6.5619
Sm -0.2026 5.2433 6.6299
Sm -3.7279 -1.1278 1.3141
Sm -5.1973 3.7492 6.6087
Sm -2.6594 4.5597 4.0696
Sm -1.2711 -0.4442 3.8744
Sm 1.2668 0.3663 1.3353
Y 0.5198 2.8080 3.9432
Y -3.3047 6.9810 6.7421
Y -0.6258 -2.8654 1.2020
Y -4.4503 1.3075 4.0008
```



Computed, not measured: a relaxed CaSm4Y crystal at the PBE level of DFT.

Calculated values
energy above the lowest structure with this stoichiometry: 0.88 eV per formula unit
SG: F-43m (216)

Structure (extended XYZ):
```
6
Lattice="-6.0568 0.6189 -2.8944 -5.5511 -1.7823 3.3845 -4.2978 4.7261 2.1536" Properties=species:S:1:pos:R:3 pbc="T T T"
Y 0.0000 0.0000 0.0000
Ca -3.9764 0.8907 0.6609
Sm -7.7899 -0.1630 0.5651
Sm -7.1546 3.1364 -0.0589
Sm -9.9687 2.2329 1.6569
Sm -6.8982 1.9191 3.1242
```



Computed, not measured: a relaxed CaSm3Y7 crystal at the PBE level of DFT.

Calculated values
energy above the lowest structure with this stoichiometry: 0.00 eV per formula unit
SG: P3m1 (156)

Structure (extended XYZ):
```
11
Lattice="-2.7436 1.7785 -8.0955 -2.3776 -6.7272 -0.6721 -4.3317 5.0899 2.5862" Properties=species:S:1:pos:R:3 pbc="T T T"
Ca -4.9053 1.9450 -2.1144
Sm -5.5138 0.5446 -5.4450
Sm -3.3927 -1.9477 -6.7114
Sm -6.6780 -2.7494 -5.7741
Y -4.3205 3.3375 1.1266
Y -2.1383 0.7734 -0.1762
Y -3.3615 -2.5726 -0.5672
Y -3.9311 -3.9390 -3.7326
Y -2.7577 -0.6189 -3.4008
Y -6.0690 -1.4270 -2.4562
Y -5.5183 -0.0514 0.7880
```



Computed, not measured: a relaxed CaSm4Y8 crystal at the PBE level of DFT.

Calculated values
SG: Pm-3m (221)

Structure (extended XYZ):
```
13
Lattice="7.6704 -1.1598 1.3514 0.9241 7.7024 1.3514 -1.5235 -1.1598 7.6381" Properties=species:S:1:pos:R:3 pbc="T T T"
Ca 3.5355 2.6914 5.1704
Sm 3.0735 -1.1598 4.4947
Sm -0.2997 3.2713 4.4947
Sm 4.2972 3.2713 1.3514
Sm 0.0000 0.0000 0.0000
Y 2.1719 5.3055 3.1763
Y 6.1762 4.7017 3.8841
Y 4.8990 0.0773 7.1645
Y 1.3787 4.7017 7.1645
Y 5.3805 4.0959 7.8686
Y 1.6905 1.2869 2.4722
Y 5.6922 0.6812 3.1763
Y 0.8948 0.6812 6.4568
```



Computed, not measured: a relaxed CaSm2Y7 crystal at the PBE level of DFT.

Calculated values
SG: P-1 (2)

Structure (extended XYZ):
```
10
Lattice="0.7208 -3.3773 3.7454 7.3142 -4.8319 1.1538 1.4782 8.5694 3.9746" Properties=species:S:1:pos:R:3 pbc="T T T"
Ca 0.0000 0.0000 0.0000
Sm 5.4184 -1.5089 4.5164
Sm 4.0949 1.8692 4.3574
Y 8.1048 -2.2877 6.7599
Y 1.4085 2.6480 2.1139
Y 6.7441 1.0884 6.6032
Y 2.7692 -0.7282 2.2706
Y 6.6970 -4.8128 4.7538
Y 2.8162 5.1731 4.1200
Y 4.0175 -4.1046 2.4496
```



Computed, not measured: a relaxed CaSm5Y8 crystal at the PBE level of DFT.

Calculated values
SG: I-4 (82)

Structure (extended XYZ):
```
14
Lattice="8.1496 0.0000 -2.6052 -4.1594 6.8596 -2.9745 0.1693 0.0000 8.5542" Properties=species:S:1:pos:R:3 pbc="T T T"
Ca 0.0846 3.4298 4.2771
Sm -1.0418 2.2012 0.1312
Sm 3.3369 6.1469 -3.3407
Sm 3.9468 4.6584 1.9462
Sm 4.1594 0.0000 2.9745
Sm 2.0769 0.7127 7.2122
Y -1.7080 5.0917 -1.9397
Y 7.2357 0.5843 3.0009
Y 4.9080 1.7130 0.1697
Y 3.9948 2.7168 4.9627
Y 1.8283 4.1428 -0.7985
Y 1.0194 6.2753 2.9025
Y 1.7717 1.7679 1.9853
Y -2.4122 5.1466 1.6151
```



no.,spin magnetization (μB/atom),energy relative to the elements (eV per atom)
1,0.00,0.03
2,0.00,0.07
3,0.15,0.11
4,0.00,0.66
5,0.00,0.04
6,0.00,0.22
7,0.00,0.06
8,0.00,0.20
9,0.00,0.23
10,0.00,0.54
11,0.00,0.05
12,0.00,0.22